Compound: Cr2NiCl
Source: Alexandria
Functional: GGA-PBEsol
Structure: optimized geometry

Lattice parameters (Å, degrees): 3.997 3.997 3.997 60.00 60.00 60.00
Fractional positions:
Cr: 0.250 0.250 0.250
Cr: 0.750 0.750 0.750
Ni: 0.000 0.000 0.000
Cl: 0.500 0.500 0.500

Values from the calculation:
Relative energy among the computed polymorphs, eV per atom: 0.295



Compound: Cr4NiCl
Source: Alexandria
Functional: GGA-PBEsol
Structure: optimized geometry

Lattice parameters (Å, degrees): 4.706 4.706 4.706 60.00 60.00 60.00
Fractional positions:
Cr: 0.376 0.376 0.376
Cr: 0.376 0.376 0.872
Cr: 0.376 0.872 0.376
Cr: 0.872 0.376 0.376
Ni: 0.750 0.750 0.750
Cl: 0.000 0.000 0.000



Compound: Cr2NiCl
Source: Alexandria
Functional: GGA-PBEsol
Structure: optimized geometry

Lattice parameters (Å, degrees): 2.912 3.190 6.065 90.00 90.00 90.00
Fractional positions:
Cr: 0.000 0.000 0.174
Cr: 0.000 0.000 0.826
Ni: 0.500 0.500 0.000
Cl: 0.500 0.000 0.500

Values from the calculation:
Relative energy among the computed polymorphs, eV per atom: 0.000



Compound: CrNiSCl2
Source: Alexandria
Functional: GGA-PBEsol
Structure: optimized geometry

Lattice parameters (Å, degrees): 4.387 4.387 4.674 90.00 90.00 90.00
Fractional positions:
Cr: 0.000 0.000 0.000
Ni: 0.500 0.500 0.500
S: 0.500 0.500 0.000
Cl: 0.000 0.500 0.500
Cl: 0.500 0.000 0.500



These records have formation energy from raw total energies values of 0.663; 0.833; 0.369; 0.103 eV/atom, in the order they appear.